Density functional theory data (PBEsol) for a geometry-optimized TlIn2Tc structure.

It has space group Imm2 (No. 44), with a = 2.920 Å, b = 4.635 Å, c = 13.522 Å, α = 90.00°, β = 90.00° and γ = 90.00°. The asymmetric unit holds Tl at (0.000, 0.000, 0.000), In at (0.000, 0.000, 0.364), In at (0.000, 0.500, 0.185) and Tc at (0.000, 0.500, 0.688).

The uncorrected energy comes out at -18.8 eV/f.u.

Density functional theory data (PBEsol) for a geometry-optimized YIn2Tc structure.

It has space group Imm2 (No. 44), with a = 3.724 Å, b = 4.748 Å, c = 9.273 Å, α = 90.00°, β = 90.00° and γ = 90.00°. The asymmetric unit holds Y at (0.000, 0.000, 0.000), In at (0.000, 0.000, 0.529), In at (0.000, 0.500, 0.770) and Tc at (0.000, 0.500, 0.260).

The uncorrected energy comes out at -23.9 eV/f.u. For the energy above the most stable polymorph in this dataset, the calculation gives 0.00 eV/f.u.

Density functional theory data (PBEsol) for a geometry-optimized YInTc structure.

It has space group F-43m (No. 216), with a = 6.522 Å, b = 6.522 Å, c = 6.522 Å, α = 90.00°, β = 90.00° and γ = 90.00°. The asymmetric unit holds Y at (0.000, 0.000, 0.000), In at (0.000, 0.000, 0.500) and Tc at (0.250, 0.250, 0.250).

The uncorrected energy comes out at -20.1 eV/f.u.

no.,DOS at the Fermi energy (states/eV/atom)
1,0.67
2,0.67
3,1.51